{"formula": "ZnGePt2", "functional": "GGA-PBE", "state": "relaxed", "lattice": [[0.000, 3.164, 3.164], [3.164, 0.000, 3.164], [3.164, 3.164, 0.000]], "species": ["Zn", "Ge", "Pt", "Pt"], "frac_coords": [[0.000, 0.000, 0.000], [0.750, 0.750, 0.750], [0.250, 0.250, 0.250], [0.500, 0.500, 0.500]], "sg": "F-43m, No. 216", "energy_ev_per_atom": -4.640, "crystal_system": "cubic"}

{"formula": "ZnGePt5", "functional": "GGA-PBE", "state": "relaxed", "lattice": [[3.947, 0.000, 0.000], [0.000, 3.947, 0.000], [0.000, 0.000, 7.214]], "species": ["Zn", "Ge", "Pt", "Pt", "Pt", "Pt", "Pt"], "frac_coords": [[0.000, 0.000, 0.000], [0.500, 0.500, 0.500], [0.000, 0.500, 0.276], [0.000, 0.500, 0.724], [0.500, 0.000, 0.276], [0.500, 0.000, 0.724], [0.500, 0.500, 0.000]], "sg": "P4/mmm, No. 123", "energy_ev_per_atom": -5.509, "crystal_system": "tetragonal"}

{"formula": "ZrZn2GePt4", "functional": "GGA-PBE", "state": "relaxed", "lattice": [[4.341, 0.000, 0.000], [0.000, 4.341, 0.000], [0.000, 0.000, 6.825]], "species": ["Zr", "Zn", "Zn", "Ge", "Pt", "Pt", "Pt", "Pt"], "frac_coords": [[0.000, 0.000, 0.000], [0.000, 0.000, 0.500], [0.500, 0.500, 0.000], [0.500, 0.500, 0.500], [0.000, 0.500, 0.266], [0.000, 0.500, 0.734], [0.500, 0.000, 0.266], [0.500, 0.000, 0.734]], "sg": "P4/mmm, No. 123", "energy_ev_per_atom": -5.565, "crystal_system": "tetragonal"}

{"formula": "ZrGePt2", "functional": "GGA-PBE", "state": "relaxed", "lattice": [[0.000, 3.248, 3.248], [3.248, 0.000, 3.248], [3.248, 3.248, 0.000]], "species": ["Zr", "Ge", "Pt", "Pt"], "frac_coords": [[0.000, 0.000, 0.000], [0.750, 0.750, 0.750], [0.250, 0.250, 0.250], [0.500, 0.500, 0.500]], "sg": "F-43m, No. 216", "energy_ev_per_atom": -6.933, "crystal_system": "cubic"}

{"formula": "ZrGePt", "functional": "GGA-PBE", "state": "relaxed", "lattice": [[6.724, 0.000, 0.000], [0.000, 4.012, 0.000], [0.000, 0.000, 7.761]], "species": ["Zr", "Zr", "Zr", "Zr", "Ge", "Ge", "Ge", "Ge", "Pt", "Pt", "Pt", "Pt"], "frac_coords": [[0.027, 0.250, 0.182], [0.473, 0.750, 0.682], [0.527, 0.250, 0.318], [0.973, 0.750, 0.818], [0.244, 0.750, 0.378], [0.256, 0.250, 0.878], [0.744, 0.750, 0.122], [0.756, 0.250, 0.622], [0.145, 0.250, 0.563], [0.355, 0.750, 0.063], [0.645, 0.250, 0.937], [0.855, 0.750, 0.437]], "sg": "Pnma, No. 62", "energy_ev_per_atom": -7.398, "crystal_system": "orthorhombic"}

{"formula": "ZrGe2Pt", "functional": "GGA-PBE", "state": "relaxed", "lattice": [[3.853, 0.000, 0.000], [0.000, 5.875, 0.000], [0.000, 0.000, 6.552]], "species": ["Zr", "Zr", "Ge", "Ge", "Ge", "Ge", "Pt", "Pt"], "frac_coords": [[0.000, 0.215, 0.000], [0.500, 0.785, 0.500], [0.000, 0.115, 0.589], [0.000, 0.579, 0.252], [0.500, 0.421, 0.752], [0.500, 0.885, 0.089], [0.000, 0.734, 0.854], [0.500, 0.266, 0.354]], "sg": "Pmn2_1, No. 31", "energy_ev_per_atom": -6.502, "crystal_system": "orthorhombic"}

{"formula": "Zr3Ge4Pt", "functional": "GGA-PBE", "state": "relaxed", "lattice": [[6.338, 0.000, 0.000], [0.000, 3.735, 0.000], [-0.053, 0.000, 6.722]], "species": ["Zr", "Zr", "Zr", "Ge", "Ge", "Ge", "Ge", "Pt"], "frac_coords": [[0.000, 0.000, 0.000], [0.032, 0.500, 0.424], [0.537, 0.500, 0.528], [0.247, 0.500, 0.808], [0.343, 0.000, 0.260], [0.685, 0.500, 0.137], [0.818, 0.000, 0.636], [0.521, 0.000, 0.909]], "sg": "Pm, No. 6", "energy_ev_per_atom": -6.735, "crystal_system": "monoclinic"}

{"formula": "ZrGe2Pt", "functional": "GGA-PBE", "state": "relaxed", "lattice": [[3.457, 0.000, 0.000], [0.000, 6.706, 0.000], [0.000, 0.000, 6.383]], "species": ["Zr", "Zr", "Ge", "Ge", "Ge", "Ge", "Pt", "Pt"], "frac_coords": [[0.000, 0.065, 0.000], [0.000, 0.935, 0.500], [0.000, 0.339, 0.677], [0.000, 0.661, 0.177], [0.500, 0.216, 0.318], [0.500, 0.784, 0.818], [0.500, 0.430, 0.986], [0.500, 0.570, 0.486]], "sg": "Pmc2_1, No. 26", "energy_ev_per_atom": -6.455, "crystal_system": "orthorhombic"}

{"formula": "ZrGe2Pt", "functional": "GGA-PBE", "state": "relaxed", "lattice": [[0.000, 3.321, 3.321], [3.321, 0.000, 3.321], [3.321, 3.321, 0.000]], "species": ["Zr", "Ge", "Ge", "Pt"], "frac_coords": [[0.000, 0.000, 0.000], [0.250, 0.250, 0.250], [0.500, 0.500, 0.500], [0.750, 0.750, 0.750]], "sg": "F-43m, No. 216", "energy_ev_per_atom": -6.250, "crystal_system": "cubic"}

{"formula": "PuGe", "functional": "GGA-PBE", "state": "relaxed", "lattice": [[3.429, 0.000, 0.000], [-1.714, 2.969, 0.000], [0.000, 0.000, 4.628]], "species": ["Pu", "Ge"], "frac_coords": [[0.000, 0.000, 0.000], [0.333, 0.667, 0.500]], "sg": "P-6m2, No. 187", "energy_ev_per_atom": -9.642, "crystal_system": "hexagonal"}

{"formula": "PuGe", "functional": "GGA-PBE", "state": "relaxed", "lattice": [[0.000, 3.249, 3.249], [3.249, 0.000, 3.249], [3.249, 3.249, 0.000]], "species": ["Pu", "Ge"], "frac_coords": [[0.000, 0.000, 0.000], [0.250, 0.250, 0.250]], "sg": "F-43m, No. 216", "energy_ev_per_atom": -8.912, "crystal_system": "cubic"}

{"formula": "Rb4PuGeSe6", "functional": "GGA-PBE", "state": "relaxed", "lattice": [[7.347, 0.000, 0.000], [3.583, 7.394, 0.000], [3.513, 1.203, 8.583]], "species": ["Rb", "Rb", "Rb", "Rb", "Pu", "Ge", "Se", "Se", "Se", "Se", "Se", "Se"], "frac_coords": [[0.000, 0.000, 0.000], [0.176, 0.400, 0.245], [0.406, 0.750, 0.448], [0.767, 0.634, 0.815], [0.703, 0.146, 0.451], [0.459, 0.259, 0.816], [0.281, 0.567, 0.849], [0.306, 0.197, 0.650], [0.471, 0.028, 0.030], [0.696, 0.401, 0.202], [0.827, 0.221, 0.658], [0.908, 0.799, 0.401]], "sg": "P1, No. 1", "energy_ev_per_atom": -4.622, "crystal_system": "triclinic"}

{"formula": "PuReGe", "functional": "GGA-PBE", "state": "relaxed", "lattice": [[0.000, 3.118, 3.118], [3.118, 0.000, 3.118], [3.118, 3.118, 0.000]], "species": ["Pu", "Re", "Ge"], "frac_coords": [[0.000, 0.000, 0.000], [0.250, 0.250, 0.250], [0.500, 0.500, 0.500]], "polymorph_energy_ev_per_atom": 0.000, "sg": "F-43m, No. 216", "energy_ev_per_atom": -10.178, "crystal_system": "cubic"}

{"formula": "PuReGe", "functional": "GGA-PBE", "state": "relaxed", "lattice": [[0.000, 3.158, 3.158], [3.158, 0.000, 3.158], [3.158, 3.158, 0.000]], "species": ["Pu", "Re", "Ge"], "frac_coords": [[0.000, 0.000, 0.000], [0.750, 0.750, 0.750], [0.250, 0.250, 0.250]], "polymorph_energy_ev_per_atom": 0.690, "sg": "F-43m, No. 216", "energy_ev_per_atom": -9.488, "crystal_system": "cubic"}

{"formula": "PuScGe", "functional": "GGA-PBE", "state": "relaxed", "lattice": [[0.000, 3.350, 3.350], [3.350, 0.000, 3.350], [3.350, 3.350, 0.000]], "species": ["Pu", "Sc", "Ge"], "frac_coords": [[0.000, 0.000, 0.000], [0.500, 0.500, 0.500], [0.250, 0.250, 0.250]], "polymorph_energy_ev_per_atom": 0.000, "sg": "F-43m, No. 216", "energy_ev_per_atom": -8.699, "crystal_system": "cubic"}

{"formula": "PuGeTe3Se", "functional": "GGA-PBE", "state": "relaxed", "lattice": [[2.014, -8.943, 0.000], [2.014, 8.943, 0.000], [0.000, 0.000, 10.897]], "species": ["Pu", "Pu", "Ge", "Ge", "Te", "Te", "Te", "Te", "Te", "Te", "Se", "Se"], "frac_coords": [[0.162, 0.838, 0.500], [0.838, 0.162, 0.000], [0.278, 0.722, 0.281], [0.722, 0.278, 0.781], [0.118, 0.882, 0.775], [0.396, 0.604, 0.790], [0.475, 0.525, 0.007], [0.525, 0.475, 0.507], [0.604, 0.396, 0.290], [0.882, 0.118, 0.275], [0.232, 0.768, 0.062], [0.768, 0.232, 0.562]], "sg": "Cmc2_1, No. 36", "energy_ev_per_atom": -5.837, "crystal_system": "orthorhombic"}

{"formula": "PuSiGe", "functional": "GGA-PBE", "state": "relaxed", "lattice": [[0.000, 3.283, 3.283], [3.283, 0.000, 3.283], [3.283, 3.283, 0.000]], "species": ["Pu", "Si", "Ge"], "frac_coords": [[0.000, 0.000, 0.000], [0.750, 0.750, 0.750], [0.250, 0.250, 0.250]], "polymorph_energy_ev_per_atom": 0.172, "sg": "F-43m, No. 216", "energy_ev_per_atom": -7.988, "crystal_system": "cubic"}

{"formula": "PuSiGe", "functional": "GGA-PBE", "state": "relaxed", "lattice": [[0.000, 3.175, 3.175], [3.175, 0.000, 3.175], [3.175, 3.175, 0.000]], "species": ["Pu", "Si", "Ge"], "frac_coords": [[0.000, 0.000, 0.000], [0.750, 0.750, 0.750], [0.500, 0.500, 0.500]], "polymorph_energy_ev_per_atom": 0.000, "sg": "F-43m, No. 216", "energy_ev_per_atom": -8.160, "crystal_system": "cubic"}

{"formula": "PuTc3Ge2", "functional": "GGA-PBE", "state": "relaxed", "lattice": [[7.678, -2.094, 0.000], [7.678, 2.094, 0.000], [-3.613, 0.000, 6.597]], "species": ["Pu", "Pu", "Tc", "Tc", "Tc", "Tc", "Tc", "Tc", "Ge", "Ge", "Ge", "Ge"], "frac_coords": [[0.138, 0.138, 0.060], [0.862, 0.862, 0.940], [0.048, 0.048, 0.402], [0.295, 0.295, 0.514], [0.412, 0.412, 0.346], [0.588, 0.588, 0.654], [0.705, 0.705, 0.486], [0.952, 0.952, 0.598], [0.206, 0.206, 0.743], [0.476, 0.476, 0.814], [0.524, 0.524, 0.186], [0.794, 0.794, 0.257]], "sg": "C2/m, No. 12", "energy_ev_per_atom": -9.349, "crystal_system": "monoclinic"}

{"formula": "PuTcGe3", "functional": "GGA-PBE", "state": "relaxed", "lattice": [[6.113, 0.000, 0.000], [-3.057, 5.294, 0.000], [0.000, 0.000, 5.786]], "species": ["Pu", "Pu", "Tc", "Tc", "Ge", "Ge", "Ge", "Ge", "Ge", "Ge"], "frac_coords": [[0.333, 0.667, 0.250], [0.667, 0.333, 0.750], [0.000, 0.000, 0.000], [0.000, 0.000, 0.500], [0.195, 0.390, 0.750], [0.195, 0.805, 0.750], [0.390, 0.195, 0.250], [0.610, 0.805, 0.750], [0.805, 0.195, 0.250], [0.805, 0.610, 0.250]], "sg": "P6_3/mmc, No. 194", "energy_ev_per_atom": -8.040, "crystal_system": "hexagonal"}